No. 1
The following is a GGA-PBE calculation of crystalline Nd7Dy12In at its relaxed geometry, from Alexandria via LeMat-Bulk.

Geometry as CIF:
```
data_Nd7Dy12In
_cell_length_a 12.3000
_cell_length_b 12.3000
_cell_length_c 15.4514
_cell_angle_alpha 90.00
_cell_angle_beta 90.00
_cell_angle_gamma 120.00
_symmetry_space_group_name_H-M 'R -3'
_symmetry_Int_Tables_number 148
_symmetry_space_group_name_Hall '-R 3'
loop_
_atom_site_label
_atom_site_type_symbol
_atom_site_fract_x
_atom_site_fract_y
_atom_site_fract_z
Nd1 Nd 0.0000 0.0000 0.0000
Nd2 Nd 0.0101 0.4331 0.7030
Dy1 Dy 0.0329 0.1864 0.8089
Dy2 Dy 0.0701 0.8112 0.4240
In1 In 0.0000 0.0000 0.5000
```

M_tot: 0.002 Bohr magnetons per cell
energy: -4.40 eV per atom
volume: 33.74 Å³/atom

=====

No. 2
The following is a GGA-PBE calculation of crystalline Nd2Dy4In at its relaxed geometry, from Alexandria via LeMat-Bulk.

Geometry as CIF:
```
data_Nd2Dy4In
_cell_length_a 3.6303
_cell_length_b 3.6303
_cell_length_c 58.8694
_cell_angle_alpha 90.00
_cell_angle_beta 90.00
_cell_angle_gamma 120.00
_symmetry_space_group_name_H-M 'R -3 m'
_symmetry_Int_Tables_number 166
_symmetry_space_group_name_Hall '-R 3 2"'
loop_
_atom_site_label
_atom_site_type_symbol
_atom_site_fract_x
_atom_site_fract_y
_atom_site_fract_z
Nd1 Nd 0.0000 0.0000 0.1931
Dy1 Dy 0.0000 0.0000 0.0908
Dy2 Dy 0.0000 0.0000 0.2910
In1 In 0.0000 0.0000 0.0000
```

M_tot: 0.055 Bohr magnetons per cell
distance to the lowest polymorph of the same formula: 0.0 meV per atom
volume: 32.00 Å³/atom

=====

No. 3
The following is a GGA-PBE calculation of crystalline Nd4Dy3In4 at its relaxed geometry, from Alexandria via LeMat-Bulk.

Geometry as CIF:
```
data_Nd4Dy3In4
_cell_length_a 3.6352
_cell_length_b 9.4732
_cell_length_c 19.4907
_cell_angle_alpha 90.00
_cell_angle_beta 90.00
_cell_angle_gamma 90.00
_symmetry_space_group_name_H-M 'I m m m'
_symmetry_Int_Tables_number 71
_symmetry_space_group_name_Hall '-I 2 2'
loop_
_atom_site_label
_atom_site_type_symbol
_atom_site_fract_x
_atom_site_fract_y
_atom_site_fract_z
Nd1 Nd 0.0000 0.1755 0.1621
Dy1 Dy 0.0000 0.0000 0.4067
Dy2 Dy 0.0000 0.5000 0.5000
In1 In 0.0000 0.2804 0.0000
In2 In 0.0000 0.5000 0.2240
```

M_tot: 0.000 Bohr magnetons per cell
energy: -4.30 eV per atom
volume: 30.51 Å³/atom

=====

No. 4
The following is a GGA-PBE calculation of crystalline Nd3DyIn at its relaxed geometry, from Alexandria via LeMat-Bulk.

Geometry as CIF:
```
data_Nd3DyIn
_cell_length_a 4.9175
_cell_length_b 25.7642
_cell_length_c 4.9208
_cell_angle_alpha 90.00
_cell_angle_beta 90.00
_cell_angle_gamma 90.00
_symmetry_space_group_name_H-M 'C m c m'
_symmetry_Int_Tables_number 63
_symmetry_space_group_name_Hall '-C 2c 2'
loop_
_atom_site_label
_atom_site_type_symbol
_atom_site_fract_x
_atom_site_fract_y
_atom_site_fract_z
Nd1 Nd 0.0000 0.0535 0.2500
Nd2 Nd 0.0000 0.2508 0.2500
Nd3 Nd 0.0000 0.4448 0.2500
Dy1 Dy 0.0000 0.3484 0.7500
In1 In 0.0000 0.1534 0.7500
```

M_tot: 0.000 Bohr magnetons per cell
distance to the lowest polymorph of the same formula: 0.0 meV per atom
volume: 31.17 Å³/atom

=====

No. 5
The following is a GGA-PBE calculation of crystalline Nd3Dy2In6 at its relaxed geometry, from Alexandria via LeMat-Bulk.

Geometry as CIF:
```
data_Nd3Dy2In6
_cell_length_a 4.7457
_cell_length_b 4.7457
_cell_length_c 29.3346
_cell_angle_alpha 90.00
_cell_angle_beta 90.00
_cell_angle_gamma 90.00
_symmetry_space_group_name_H-M 'I 4/m m m'
_symmetry_Int_Tables_number 139
_symmetry_space_group_name_Hall '-I 4 2'
loop_
_atom_site_label
_atom_site_type_symbol
_atom_site_fract_x
_atom_site_fract_y
_atom_site_fract_z
Nd1 Nd 0.0000 0.0000 0.0000
Nd2 Nd 0.0000 0.0000 0.2023
Dy1 Dy 0.0000 0.0000 0.4465
In1 In 0.0000 0.0000 0.3113
In2 In 0.0000 0.5000 0.1185
```

M_tot: 0.001 Bohr magnetons per cell
energy: -3.84 eV per atom
volume: 30.03 Å³/atom

=====

No. 6
The following is a GGA-PBE calculation of crystalline NdDyIn2 at its relaxed geometry, from Alexandria via LeMat-Bulk.

Geometry as CIF:
```
data_NdDyIn2
_cell_length_a 3.7620
_cell_length_b 3.7620
_cell_length_c 29.3879
_cell_angle_alpha 90.00
_cell_angle_beta 90.00
_cell_angle_gamma 120.00
_symmetry_space_group_name_H-M 'R -3 m'
_symmetry_Int_Tables_number 166
_symmetry_space_group_name_Hall '-R 3 2"'
loop_
_atom_site_label
_atom_site_type_symbol
_atom_site_fract_x
_atom_site_fract_y
_atom_site_fract_z
Nd1 Nd 0.0000 0.0000 0.0000
Dy1 Dy 0.0000 0.0000 0.5000
In1 In 0.0000 0.0000 0.2478
```

M_tot: 0.000 Bohr magnetons per cell
energy: -4.03 eV per atom
volume: 30.02 Å³/atom

=====

No. 7
The following is a GGA-PBE calculation of crystalline Nd5DyIn8 at its relaxed geometry, from Alexandria via LeMat-Bulk.

Geometry as CIF:
```
data_Nd5DyIn8
_cell_length_a 9.4328
_cell_length_b 9.4328
_cell_length_c 9.3168
_cell_angle_alpha 90.00
_cell_angle_beta 90.00
_cell_angle_gamma 90.00
_symmetry_space_group_name_H-M 'I -4'
_symmetry_Int_Tables_number 82
loop_
_symmetry_equiv_pos_as_xyz
'x,y,z'
'y,-x,-z'
'-x,-y,z'
'-y,x,-z'
'x+1/2,y+1/2,z+1/2'
'y+1/2,-x+1/2,-z+1/2'
'-x+1/2,-y+1/2,z+1/2'
'-y+1/2,x+1/2,-z+1/2'
loop_
_atom_site_label
_atom_site_type_symbol
_atom_site_fract_x
_atom_site_fract_y
_atom_site_fract_z
Nd1 Nd 0.0000 0.0000 0.0000
Nd2 Nd 0.1201 0.2469 0.6273
Dy1 Dy 0.0000 0.5000 0.2500
In1 In 0.0809 0.3354 0.9666
In2 In 0.0866 0.1746 0.2874
```

M_tot: 0.000 Bohr magnetons per cell
energy: -3.97 eV per atom
volume: 29.61 Å³/atom

=====

No. 8
The following is a GGA-PBE calculation of crystalline NdDy3In4 at its relaxed geometry, from Alexandria via LeMat-Bulk.

Geometry as CIF:
```
data_NdDy3In4
_cell_length_a 3.4480
_cell_length_b 7.1806
_cell_length_c 18.8339
_cell_angle_alpha 90.00
_cell_angle_beta 90.00
_cell_angle_gamma 90.00
_symmetry_space_group_name_H-M 'I m m m'
_symmetry_Int_Tables_number 71
_symmetry_space_group_name_Hall '-I 2 2'
loop_
_atom_site_label
_atom_site_type_symbol
_atom_site_fract_x
_atom_site_fract_y
_atom_site_fract_z
Nd1 Nd 0.0000 0.0000 0.0000
Dy1 Dy 0.0000 0.0000 0.5000
Dy2 Dy 0.0000 0.5000 0.2805
In1 In 0.0000 0.2909 0.1283
```

M_tot: 0.264 Bohr magnetons per cell
distance to the lowest polymorph of the same formula: 158.1 meV per atom
volume: 29.14 Å³/atom

=====

No. 9
The following is a GGA-PBE calculation of crystalline NdDyIn at its relaxed geometry, from Alexandria via LeMat-Bulk.

Geometry as CIF:
```
data_NdDyIn
_cell_length_a 4.6529
_cell_length_b 4.6529
_cell_length_c 8.5284
_cell_angle_alpha 90.00
_cell_angle_beta 90.00
_cell_angle_gamma 90.00
_symmetry_space_group_name_H-M 'P 4/n m m'
_symmetry_Int_Tables_number 129
loop_
_symmetry_equiv_pos_as_xyz
'x,y,z'
'-x,-y,-z'
'-y+1/2,x,z'
'y+1/2,-x,-z'
'-x+1/2,-y+1/2,z'
'x+1/2,y+1/2,-z'
'y,-x+1/2,z'
'-y,x+1/2,-z'
'x+1/2,-y,-z'
'-x+1/2,y,z'
'-y,-x,-z'
'y,x,z'
'-x,y+1/2,-z'
'x,-y+1/2,z'
'y+1/2,x+1/2,-z'
'-y+1/2,-x+1/2,z'
loop_
_atom_site_label
_atom_site_type_symbol
_atom_site_fract_x
_atom_site_fract_y
_atom_site_fract_z
Nd1 Nd 0.2500 0.7500 0.0000
Dy1 Dy 0.2500 0.2500 0.3579
In1 In 0.2500 0.2500 0.7220
```

M_tot: 0.544 Bohr magnetons per cell
distance to the lowest polymorph of the same formula: 58.3 meV per atom
volume: 30.77 Å³/atom

=====

No. 10
The following is a GGA-PBE calculation of crystalline NdDyIn at its relaxed geometry, from Alexandria via LeMat-Bulk.

Geometry as CIF:
```
data_NdDyIn
_cell_length_a 3.6068
_cell_length_b 3.6068
_cell_length_c 13.9167
_cell_angle_alpha 90.00
_cell_angle_beta 90.00
_cell_angle_gamma 90.00
_symmetry_space_group_name_H-M 'I 4 m m'
_symmetry_Int_Tables_number 107
_symmetry_space_group_name_Hall 'I 4 -2'
loop_
_atom_site_label
_atom_site_type_symbol
_atom_site_fract_x
_atom_site_fract_y
_atom_site_fract_z
Nd1 Nd 0.0000 0.0000 0.0000
Dy1 Dy 0.0000 0.0000 0.6918
In1 In 0.0000 0.0000 0.3392
```

M_tot: 0.000 Bohr magnetons per cell
distance to the lowest polymorph of the same formula: 0.0 meV per atom
volume: 30.17 Å³/atom

=====

No. 11
The following is a GGA-PBE calculation of crystalline NdDy6In at its relaxed geometry, from Alexandria via LeMat-Bulk.

Geometry as CIF:
```
data_NdDy6In
_cell_length_a 4.9161
_cell_length_b 4.9161
_cell_length_c 10.0690
_cell_angle_alpha 90.00
_cell_angle_beta 90.00
_cell_angle_gamma 90.00
_symmetry_space_group_name_H-M 'P 4/m m m'
_symmetry_Int_Tables_number 123
_symmetry_space_group_name_Hall '-P 4 2'
loop_
_atom_site_label
_atom_site_type_symbol
_atom_site_fract_x
_atom_site_fract_y
_atom_site_fract_z
Nd1 Nd 0.0000 0.0000 0.0000
Dy1 Dy 0.0000 0.5000 0.2582
Dy2 Dy 0.5000 0.5000 0.0000
Dy3 Dy 0.5000 0.5000 0.5000
In1 In 0.0000 0.0000 0.5000
```

M_tot: 0.000 Bohr magnetons per cell
energy: -4.50 eV per atom
volume: 30.42 Å³/atom

=====

No. 12
The following is a GGA-PBE calculation of crystalline NdDy8In2 at its relaxed geometry, from Alexandria via LeMat-Bulk.

Geometry as CIF:
```
data_NdDy8In2
_cell_length_a 15.8637
_cell_length_b 6.7307
_cell_length_c 6.4933
_cell_angle_alpha 90.00
_cell_angle_beta 99.45
_cell_angle_gamma 90.00
_symmetry_space_group_name_H-M 'C 1 2/m 1'
_symmetry_Int_Tables_number 12
loop_
_symmetry_equiv_pos_as_xyz
'x,y,z'
'-x,-y,-z'
'-x,y,-z'
'x,-y,z'
'x+1/2,y+1/2,z'
'-x+1/2,-y+1/2,-z'
'-x+1/2,y+1/2,-z'
'x+1/2,-y+1/2,z'
loop_
_atom_site_label
_atom_site_type_symbol
_atom_site_fract_x
_atom_site_fract_y
_atom_site_fract_z
Nd1 Nd 0.0000 0.0000 0.0000
Dy1 Dy 0.0853 0.5000 0.8974
Dy2 Dy 0.0979 0.2605 0.4142
Dy3 Dy 0.2155 0.0000 0.8186
In1 In 0.2474 0.0000 0.3107
```

M_tot: 0.000 Bohr magnetons per cell
energy: -4.33 eV per atom
volume: 31.09 Å³/atom

=====

| no. | DOS at the Fermi energy (states/eV/cell) |
| --- | --- |
| 1 | 103.268 |
| 2 | 33.546 |
| 3 | 20.512 |
| 4 | 24.495 |
| 5 | 21.165 |
| 6 | 6.290 |
| 7 | 25.926 |
| 8 | 13.307 |
| 9 | 8.391 |
| 10 | 5.529 |
| 11 | 8.866 |
| 12 | 27.497 |